No. 1
# NiBRh2, optimized geometry, DFT PBE
# Spin magnetization   1.35 μB per cell
# ΔH_f (0 K)   -0.062 eV per atom
data_NiBRh2
_cell_length_a 2.7002
_cell_length_b 2.7002
_cell_length_c 6.2592
_cell_angle_alpha 90.00
_cell_angle_beta 90.00
_cell_angle_gamma 90.00
_space_group_name_H-M_alt 'P 4/m m m'
_space_group_IT_number 123
_space_group_name_Hall '-P 4 2'
loop_
_atom_site_label
_atom_site_type_symbol
_atom_site_fract_x
_atom_site_fract_y
_atom_site_fract_z
Ni1 Ni 0.0000 0.0000 0.0000
B1 B 0.0000 0.0000 0.5000
Rh1 Rh 0.5000 0.5000 0.2924


No. 2
# Ni3BRh, optimized geometry, DFT PBE
# Spin magnetization   3.79 μB per cell
# E above lowest polymorph   44.29 kcal/mol of atoms
# ΔH_f (0 K)   2.034 eV per atom
data_Ni3BRh
_cell_length_a 4.5102
_cell_length_b 4.5102
_cell_length_c 4.5102
_cell_angle_alpha 90.00
_cell_angle_beta 90.00
_cell_angle_gamma 90.00
_space_group_name_H-M_alt 'P m -3 m'
_space_group_IT_number 221
_space_group_name_Hall '-P 4 2 3'
loop_
_atom_site_label
_atom_site_type_symbol
_atom_site_fract_x
_atom_site_fract_y
_atom_site_fract_z
Ni1 Ni 0.0000 0.0000 0.5000
B1 B 0.5000 0.5000 0.5000
Rh1 Rh 0.0000 0.0000 0.0000


- Which value of ΔH_f (0 K) does entry 1 give?
  -0.062 eV per atom


- Among the records above, which one has the highest ΔH_f (0 K)?
  Ni3BRh